Below is a geometry-optimized B2C3 structure, with properties calculated at the PBE level.

Cell: 11.137 11.137 11.137 Å, 13.49 13.49 13.49°
Element x y z (fractional)
B1 0.202 0.202 0.202
B2 0.400 0.400 0.400
B3 0.602 0.602 0.602
B4 0.802 0.802 0.802
C1 0.849 0.849 0.849
C2 0.046 0.046 0.046
C3 0.250 0.250 0.250
C4 0.448 0.448 0.448
C5 0.000 0.000 0.000
C6 0.652 0.652 0.652

Results
The magnetization comes out at 0.00 Bohr magnetons per cell. As for the symmetry: R3m. The energy of formation from the pure elements comes out at 0.409 eV per atom. For the mass density, the calculation gives 2.93 Mg/m³.

Below is a geometry-optimized PbSe2N structure, with properties calculated at the PBE level.

Cell: 6.604 6.604 6.331 Å, 58.56 58.56 90.00°
Element x y z (fractional)
Pb1 0.000 0.000 0.000
Pb2 0.750 0.250 0.500
Se1 0.496 0.125 0.250
Se2 0.254 0.625 0.250
Se3 0.375 0.504 0.750
Se4 0.875 0.746 0.750
N1 0.500 0.500 0.000
N2 0.250 0.750 0.500

Results
The magnetization comes out at 0.00 Bohr magnetons per cell. As for the symmetry: I-42d. The uncorrected formation energy comes out at 0.6276 eV/atom. For the mass density, the calculation gives 6.75 Mg/m³.

Below is a geometry-optimized BeCuPt4 structure, with properties calculated at the PBE level.

Cell: 3.948 3.949 5.845 Å, 89.99 89.99 90.00°
Element x y z (fractional)
Be1 0.001 0.997 0.498
Cu1 0.501 0.497 0.998
Pt1 0.501 0.997 0.267
Pt2 0.501 0.997 0.730
Pt3 0.001 0.497 0.730
Pt4 0.001 0.497 0.267

Results
The magnetization comes out at 0.00 Bohr magnetons per cell. As for the symmetry: P4/mmm. The energy of formation from the pure elements comes out at -0.144 eV per atom. For the mass density, the calculation gives 15.54 Mg/m³.

Below is a geometry-optimized Er2SiO5 structure, with properties calculated at the PBE level.

Cell: 6.758 6.714 9.164 Å, 77.09 90.00 90.00°
Element x y z (fractional)
Er1 0.120 0.731 0.468
Er2 0.620 0.769 0.532
Er3 0.880 0.269 0.532
Er4 0.380 0.231 0.468
Er5 0.641 0.978 0.859
Er6 0.141 0.522 0.141
Er7 0.359 0.022 0.141
Er8 0.859 0.478 0.859
Si1 0.095 0.992 0.798
Si2 0.595 0.508 0.202
Si3 0.905 0.008 0.202
Si4 0.405 0.492 0.798
O1 0.879 0.570 0.609
O2 0.379 0.930 0.391
O3 0.121 0.430 0.391
O4 0.621 0.070 0.609
O5 0.292 0.991 0.898
O6 0.792 0.509 0.102
O7 0.708 0.009 0.102
O8 0.208 0.491 0.898
O9 0.143 0.022 0.615
O10 0.643 0.478 0.385
O11 0.857 0.978 0.385
O12 0.357 0.522 0.615
O13 0.564 0.687 0.789
O14 0.064 0.813 0.211
O15 0.436 0.313 0.211
O16 0.936 0.187 0.789
O17 0.561 0.304 0.858
O18 0.061 0.196 0.142
O19 0.439 0.696 0.142
O20 0.939 0.804 0.858

Results
The magnetization comes out at 0.00 Bohr magnetons per cell. As for the symmetry: P2_1/c. The uncorrected formation energy comes out at -3.3761 eV/atom. For the mass density, the calculation gives 7.25 Mg/m³.